## La2Nd4Th (GGA-PBE)

Data for an optimized crystal structure of La2Nd4Th.

Cell: 6.8060 11.9301 12.4004 Å, 90.00 90.00 90.00°
With the nearest neighbours (Å) after each atom.
Space group Imma (No. 74)
Symmetry-distinct sites (fractional):
1 La 0.0000 0.0000 0.0000 x4  8 Nd 3.51-3.86
2 La 0.0000 0.2500 0.2258 x4  6 Nd 3.25-3.62, 2 La 3.46
3 Nd 0.0000 0.0072 0.6473 x8  1 La 3.45, 2 Th 3.59, 5 Nd 3.66-3.83
4 Nd 0.2275 0.2500 0.4893 x8  1 Nd 3.10, 1 Th 3.24, 1 La 3.25
5 Th 0.2500 0.2500 0.7500 x4  6 Nd 3.24-3.59, 2 Th 3.40

## Properties
ρ   7.2 g/cm3
E_form   0.2458 eV/atom
V   1006.9 Å³ per cell
Size of the total moment   0.00 μB/f.u.
Total energy   -138.50 eV for the cell shown